Pr4MgSn2 after structural relaxation. Source: Alexandria via LeMat-Bulk, functional PBE-GGA.

Unit cell a=7.5161 b=6.4370 c=9.7963 alpha=90.00 beta=109.14 gamma=90.00
Atoms (fractional coordinates):
Pr (0.0341, 0.0013, 0.2326)
Pr (0.0341, 0.4987, 0.2326)
Pr (0.4265, 0.7500, 0.5428)
Pr (0.4574, 0.7500, 0.1617)
Pr (0.5426, 0.2500, 0.8383)
Pr (0.5735, 0.2500, 0.4572)
Pr (0.9659, 0.5013, 0.7674)
Pr (0.9659, 0.9987, 0.7674)
Mg (0.3407, 0.7500, 0.8281)
Mg (0.6593, 0.2500, 0.1719)
Sn (0.1850, 0.2500, 0.5546)
Sn (0.2684, 0.2500, 0.0498)
Sn (0.7316, 0.7500, 0.9502)
Sn (0.8150, 0.7500, 0.4454)

Results
Its space group is P2_1/m (11). The formation energy is -2.2 eV per formula unit.